No. 1
Below is a relaxed K4Pm3HoO8 crystal, with properties calculated at the GGA-PBE level.

Calculated values
The calculation puts the formation energy (no corrections) at -2675 meV/atom. The value obtained for the mass density is 5.27 g/cm³. The calculation puts the total energy at -6.61 eV per atom.

a = 7.1492 Å, b = 7.1492 Å, c = 18.8692 Å
α = 90.00°, β = 90.00°, γ = 120.00°
Space group R-3m (No. 166, hexagonal axes)
One atom of each set of equivalent atoms:
1 K 0.0000 0.0000 0.0000 (multiplicity 3)
2 K 0.0000 0.5000 0.0000 (multiplicity 9)
3 Pm 0.0000 0.5000 0.5000 (multiplicity 9)
4 Ho 0.0000 0.0000 0.5000 (multiplicity 3)
5 O 0.0000 0.0000 0.2301 (multiplicity 6)
6 O 0.0081 0.5041 0.2293 (multiplicity 18)



No. 2
Below is a relaxed CaSb2P2Pt7 crystal, with properties calculated at the GGA-PBE level.

Calculated values
The calculation puts the formation energy (no corrections) at -576 meV/atom. The value obtained for the mass density is 12.26 g/cm³. The calculation puts the total energy at -5.86 eV per atom.

a = 3.956 Å, b = 3.956 Å, c = 29.621 Å
α = 90.00°, β = 90.00°, γ = 90.00°
Space group I4/mmm (No. 139)
One atom of each set of equivalent atoms:
1 Ca 0.000 0.000 0.000 (multiplicity 2)
2 Sb 0.000 0.000 0.212 (multiplicity 4)
3 P 0.000 0.000 0.381 (multiplicity 4)
4 Pt 0.000 0.000 0.303 (multiplicity 4)
5 Pt 0.000 0.000 0.500 (multiplicity 2)
6 Pt 0.000 0.500 0.076 (multiplicity 8)



No. 3
Below is a relaxed LaTiNb2 crystal, with properties calculated at the GGA-PBE level.

Calculated values
The calculation puts the formation enthalpy at 0 K at 287.7 kJ/mol of formula units. The value obtained for the mass density is 7.05 g/cm³. The calculation puts the total energy at -7.50 eV per atom.

a = 7.756 Å, b = 7.756 Å, c = 5.835 Å
α = 90.00°, β = 90.00°, γ = 90.00°
Space group I-42d (No. 122)
One atom of each set of equivalent atoms:
1 La 0.000 0.000 0.000 (multiplicity 4)
2 Ti 0.000 0.000 0.500 (multiplicity 4)
3 Nb 0.223 0.250 0.625 (multiplicity 8)



No. 4
Below is a relaxed InCoHg4 crystal, with properties calculated at the GGA-PBE level.

Calculated values
The calculation puts the formation enthalpy at 0 K at 337.6 kJ/mol of formula units. The value obtained for the mass density is 10.91 g/cm³. The calculation puts the total energy at -1.26 eV per atom.

a = 8.408 Å, b = 8.408 Å, c = 8.408 Å
α = 90.00°, β = 90.00°, γ = 90.00°
Space group F-43m (No. 216)
One atom of each set of equivalent atoms:
1 In 0.000 0.000 0.000 (multiplicity 4)
2 Co 0.250 0.250 0.750 (multiplicity 4)
3 Hg 0.125 0.125 0.375 (multiplicity 16)



No. 5
Below is a relaxed H2OsBr6 crystal, with properties calculated at the GGA-PBE level.

Calculated values
The value obtained for the mass density is 3.52 g/cm³. The calculation puts the total energy at -3.26 eV per atom.

a = 15.238 Å, b = 13.024 Å, c = 6.391 Å
α = 90.00°, β = 92.84°, γ = 90.00°
Space group C2/c (No. 15)
One atom of each set of equivalent atoms:
1 H 0.131 0.022 0.262 (multiplicity 8)
2 Os 0.000 0.422 0.750 (multiplicity 4)
3 Br 0.090 0.434 0.090 (multiplicity 8)
4 Br 0.101 0.295 0.618 (multiplicity 8)
5 Br 0.132 0.090 0.082 (multiplicity 8)



No. 6
Below is a relaxed K2Sn3Bi2 crystal, with properties calculated at the GGA-PBE level.

Calculated values
The calculation puts the formation enthalpy at 0 K at -115.1 kJ/mol of formula units. The value obtained for the mass density is 5.72 g/cm³. The calculation puts the total energy at -3.31 eV per atom.

a = 12.444 Å, b = 5.432 Å, c = 7.918 Å
α = 90.00°, β = 112.42°, γ = 90.00°
Space group C2/m (No. 12)
One atom of each set of equivalent atoms:
1 K 0.153 0.000 0.282 (multiplicity 4)
2 Sn 0.000 0.500 0.500 (multiplicity 2)
3 Sn 0.098 0.500 0.920 (multiplicity 4)
4 Bi 0.147 0.000 0.756 (multiplicity 4)



No. 7
Below is a relaxed ZnIn2Re crystal, with properties calculated at the GGA-PBE level.

Calculated values
The calculation puts the formation enthalpy at 0 K at 164.2 kJ/mol of formula units. The value obtained for the mass density is 11.04 g/cm³. The calculation puts the total energy at -4.37 eV per atom.

a = 4.028 Å, b = 4.028 Å, c = 8.921 Å
α = 90.00°, β = 90.00°, γ = 90.00°
Space group I-4m2 (No. 119)
One atom of each set of equivalent atoms:
1 Zn 0.000 0.000 0.000 (multiplicity 2)
2 In 0.000 0.000 0.500 (multiplicity 2)
3 In 0.000 0.500 0.750 (multiplicity 2)
4 Re 0.000 0.500 0.250 (multiplicity 2)



No. 8
Below is a relaxed CoTcMoH3 crystal, with properties calculated at the GGA-PBE level.

Calculated values
The value obtained for the mass density is 8.56 g/cm³. The calculation puts the total energy at -6.21 eV per atom.

a = 5.625 Å, b = 2.839 Å, c = 6.298 Å
α = 90.00°, β = 99.22°, γ = 90.00°
Space group P2_1/m (No. 11)
One atom of each set of equivalent atoms:
1 Co 0.186 0.250 0.453 (multiplicity 2)
2 Tc 0.403 0.750 0.184 (multiplicity 2)
3 Mo 0.117 0.250 0.852 (multiplicity 2)
4 H 0.129 0.750 0.600 (multiplicity 2)
5 H 0.164 0.250 0.177 (multiplicity 2)
6 H 0.387 0.750 0.857 (multiplicity 2)



No. 9
Below is a relaxed NbCr3Fe crystal, with properties calculated at the GGA-PBE level.

Calculated values
The calculation puts the formation enthalpy at 0 K at 1066.7 kJ/mol of formula units. The value obtained for the mass density is 5.91 g/cm³. The calculation puts the total energy at -7.27 eV per atom.

a = 4.409 Å, b = 4.409 Å, c = 4.409 Å
α = 90.00°, β = 90.00°, γ = 90.00°
Space group Pm-3m (No. 221)
One atom of each set of equivalent atoms:
1 Nb 0.000 0.000 0.000 (multiplicity 1)
2 Cr 0.000 0.000 0.500 (multiplicity 3)
3 Fe 0.500 0.500 0.500 (multiplicity 1)



No. 10
Below is a relaxed Tc5Br4 crystal, with properties calculated at the GGA-PBE level.

Calculated values
The calculation puts the formation energy (no corrections) at 1190 meV/atom. The value obtained for the mass density is 8.78 g/cm³. The calculation puts the total energy at -5.31 eV per atom.

a = 7.7017 Å, b = 7.7017 Å, c = 5.9644 Å
α = 90.00°, β = 90.00°, γ = 120.00°
Space group P6_3/mcm (No. 193)
One atom of each set of equivalent atoms:
1 Tc 0.0000 0.3417 0.2500 (multiplicity 6)
2 Tc 0.3333 0.6667 0.0000 (multiplicity 4)
3 Br 0.0000 0.0000 0.0000 (multiplicity 2)
4 Br 0.0000 0.3522 0.7500 (multiplicity 6)



No. 11
Below is a relaxed MnFeBP2 crystal, with properties calculated at the GGA-PBE level.

Calculated values
The calculation puts the formation enthalpy at 0 K at -82.1 kJ/mol of formula units. The value obtained for the mass density is 5.50 g/cm³. The calculation puts the total energy at -7.20 eV per atom.

a = 2.763 Å, b = 2.763 Å, c = 7.258 Å
α = 90.00°, β = 90.00°, γ = 90.00°
Space group P4mm (No. 99)
One atom of each set of equivalent atoms:
1 Mn 0.000 0.000 0.000 (multiplicity 1)
2 Fe 0.500 0.500 0.500 (multiplicity 1)
3 B 0.000 0.000 0.499 (multiplicity 1)
4 P 0.500 0.500 0.189 (multiplicity 1)
5 P 0.500 0.500 0.811 (multiplicity 1)



No. 12
Below is a relaxed Y4Pd2Au crystal, with properties calculated at the GGA-PBE level.

Calculated values
The calculation puts the formation enthalpy at 0 K at -471.3 kJ/mol of formula units. The value obtained for the mass density is 7.28 g/cm³. The calculation puts the total energy at -6.34 eV per atom.

a = 4.9709 Å, b = 4.9709 Å, c = 24.4813 Å
α = 90.00°, β = 90.00°, γ = 120.00°
Space group R-3m (No. 166, hexagonal axes)
One atom of each set of equivalent atoms:
1 Y 0.0000 0.0000 0.1228 (multiplicity 6)
2 Y 0.0000 0.0000 0.3733 (multiplicity 6)
3 Pd 0.0000 0.0000 0.2526 (multiplicity 6)
4 Au 0.0000 0.0000 0.5000 (multiplicity 3)